1.
The following is a DFT calculation (PBE) of a relaxed Rb3ZnS crystal.

Summary:
- ΔE_f (raw) (eV per atom) = -0.3827
- D(E_F) (states/eV/f.u.) = 5.355
- magnetic moment (Bohr magnetons per cell) = 0.00
- energy above the lowest structure with this stoichiometry (kJ per mole of atoms) = 0.0

extended XYZ file:
```
5
Lattice="6.444 0.000 0.000 0.000 6.444 0.000 0.000 0.000 6.444" Properties=species:S:1:pos:R:3 pbc="T T T"
Zn 3.222 3.222 3.222
S 0.000 0.000 0.000
Rb 0.000 3.222 0.000
Rb 0.000 0.000 3.222
Rb 3.222 0.000 0.000
```



2.
The following is a DFT calculation (PBE) of a relaxed Er2ZnAu crystal.

Summary:
- DFT formation energy (kJ per mole of atoms) = -59.0
- D(E_F) (states/eV/f.u.) = 4.169
- magnetic moment (Bohr magnetons per cell) = 0.00
- energy above the lowest structure with this stoichiometry (kJ per mole of atoms) = 1.2

extended XYZ file:
```
4
Lattice="5.029 0.000 0.000 2.515 4.355 0.000 2.515 1.452 4.106" Properties=species:S:1:pos:R:3 pbc="T T T"
Zn 0.000 0.000 0.000
Au 5.029 2.904 2.053
Er 7.544 4.355 3.080
Er 2.515 1.452 1.027
```



3.
The following is a DFT calculation (PBE) of a relaxed TlInRh crystal.

Summary:
- DFT formation energy (kJ per mole of atoms) = 12.2
- D(E_F) (states/eV/f.u.) = 1.340
- magnetic moment (Bohr magnetons per cell) = 0.00
- energy above the lowest structure with this stoichiometry (kJ per mole of atoms) = 18.9

extended XYZ file:
```
3
Lattice="2.328 -4.033 0.000 2.328 4.033 0.000 0.000 0.000 3.415" Properties=species:S:1:pos:R:3 pbc="T T T"
Tl 2.328 1.344 2.099
In 0.000 0.000 0.329
Rh 2.328 -1.344 0.988
```



4.
The following is a DFT calculation (PBE) of a relaxed Pm3Nd6Dy2Mg crystal.

Summary:
- DFT formation energy (kJ per mole of atoms) = 2.3
- D(E_F) (states/eV/f.u.) = 14.363
- magnetic moment (Bohr magnetons per cell) = 0.00

extended XYZ file:
```
12
Lattice="-1.119 0.611 -6.165 -3.259 -4.177 3.401 -6.614 9.367 3.209" Properties=species:S:1:pos:R:3 pbc="T T T"
Pm -6.209 1.305 3.411
Pm -4.783 4.497 -2.966
Pm -5.496 2.901 0.223
Nd -7.936 5.179 -1.248
Nd -4.910 -0.359 -1.278
Nd -3.056 0.623 1.693
Nd -8.646 3.590 1.928
Nd -6.081 6.161 1.723
Nd -2.346 2.213 -1.482
Dy -2.546 -2.581 0.213
Dy -1.832 -0.984 -2.977
Mg 0.000 0.000 0.000
```



5.
The following is a DFT calculation (PBE) of a relaxed Fe3Ir2 crystal.

Summary:
- DFT formation energy (kJ per mole of atoms) = -0.7
- D(E_F) (states/eV/f.u.) = 6.300
- magnetic moment (Bohr magnetons per cell) = 6.75
- energy above the lowest structure with this stoichiometry (kJ per mole of atoms) = 0.0

extended XYZ file:
```
5
Lattice="4.488 0.509 0.381 -1.791 3.108 -0.864 0.417 -0.688 4.507" Properties=species:S:1:pos:R:3 pbc="T T T"
Fe 2.692 1.997 1.571
Fe 0.423 0.932 2.453
Fe 0.000 0.000 0.000
Ir 0.431 2.546 0.377
Ir 2.683 0.383 3.647
```



6.
The following is a DFT calculation (PBE) of a relaxed Sm5Y3Th crystal.

Summary:
- DFT formation energy (kJ per mole of atoms) = 30.9
- D(E_F) (states/eV/f.u.) = 13.555
- magnetic moment (Bohr magnetons per cell) = 0.00

extended XYZ file:
```
18
Lattice="7.931 0.000 0.000 0.000 7.931 0.000 -3.966 -3.966 9.728" Properties=species:S:1:pos:R:3 pbc="T T T"
Sm -2.329 1.637 7.144
Sm 2.329 -1.637 7.144
Sm -1.637 -2.329 7.144
Sm 1.637 2.329 7.144
Sm 6.294 2.329 2.585
Sm 1.637 5.603 2.585
Sm 5.603 6.294 2.585
Sm 2.329 1.637 2.585
Sm 3.966 3.966 0.000
Sm 0.000 0.000 0.000
Y 5.002 1.037 0.000
Y 2.929 6.895 0.000
Y 6.895 5.002 0.000
Y 1.037 2.929 0.000
Y 0.000 0.000 4.864
Y 3.966 3.966 4.864
Th 3.966 0.000 4.864
Th 0.000 3.966 4.864
```



7.
The following is a DFT calculation (PBE) of a relaxed Sc4Ge2Os crystal.

Summary:
- DFT formation energy (kJ per mole of atoms) = -13.7
- D(E_F) (states/eV/f.u.) = 3.456
- magnetic moment (Bohr magnetons per cell) = 0.00

extended XYZ file:
```
7
Lattice="-4.398 -0.676 1.833 -0.504 -3.970 -2.674 0.403 -6.307 4.957" Properties=species:S:1:pos:R:3 pbc="T T T"
Sc -3.873 -6.083 1.099
Sc -0.626 -4.870 3.017
Sc -0.252 -1.985 -1.337
Sc -2.199 -0.338 0.917
Ge -2.811 -7.565 3.098
Ge -1.688 -3.389 1.018
Os 0.000 0.000 0.000
```



8.
The following is a DFT calculation (PBE) of a relaxed Li4Cl crystal.

Summary:
- ΔE_f (raw) (eV per atom) = -0.4948
- D(E_F) (states/eV/f.u.) = 2.262
- magnetic moment (Bohr magnetons per cell) = 0.00
- energy above the lowest structure with this stoichiometry (kJ per mole of atoms) = 0.0

extended XYZ file:
```
5
Lattice="4.823 0.000 0.000 0.000 4.823 0.000 0.000 0.000 4.823" Properties=species:S:1:pos:R:3 pbc="T T T"
Li 0.000 0.000 0.000
Li 2.411 0.000 2.411
Li 0.000 2.411 2.411
Li 2.411 2.411 0.000
Cl 2.411 2.411 2.411
```



9.
The following is a DFT calculation (PBE) of a relaxed TaIn2Sb crystal.

Summary:
- ΔE_f (raw) (eV per atom) = 0.1713
- D(E_F) (states/eV/f.u.) = 2.019
- magnetic moment (Bohr magnetons per cell) = 0.00

extended XYZ file:
```
4
Lattice="3.117 -0.002 0.000 -0.973 2.962 0.000 0.000 0.000 10.616" Properties=species:S:1:pos:R:3 pbc="T T T"
In 0.000 0.000 10.323
In 1.072 1.480 2.385
Sb 0.000 0.000 5.818
Ta 1.072 1.480 8.013
```



10.
The following is a DFT calculation (PBE) of a relaxed BeSi2Cl crystal.

Summary:
- ΔE_f (raw) (eV per atom) = 0.3826
- D(E_F) (states/eV/f.u.) = 1.888
- magnetic moment (Bohr magnetons per cell) = 0.00
- energy above the lowest structure with this stoichiometry (kJ per mole of atoms) = 19.5

extended XYZ file:
```
4
Lattice="4.358 0.003 0.005 -1.492 4.094 -0.010 1.373 2.095 3.566" Properties=species:S:1:pos:R:3 pbc="T T T"
Be -0.059 3.094 1.778
Si 0.000 0.000 0.000
Si 2.865 1.049 1.785
Cl 1.433 2.049 -0.003
```



11.
The following is a DFT calculation (PBE) of a relaxed HoTm2Tl crystal.

Summary:
- DFT formation energy (kJ per mole of atoms) = -12.4
- D(E_F) (states/eV/f.u.) = 4.088
- magnetic moment (Bohr magnetons per cell) = 0.00
- energy above the lowest structure with this stoichiometry (kJ per mole of atoms) = 3.3

extended XYZ file:
```
8
Lattice="-0.942 -2.887 3.630 4.420 -1.201 0.193 -0.304 8.685 6.829" Properties=species:S:1:pos:R:3 pbc="T T T"
Ho 0.938 4.243 5.161
Ho 2.236 0.354 5.490
Tm 0.984 4.994 8.856
Tm 2.190 -0.397 1.795
Tm 3.631 5.692 7.013
Tm -0.457 -1.095 3.639
Tl 2.786 2.657 7.465
Tl 0.388 1.939 3.186
```



12.
The following is a DFT calculation (PBE) of a relaxed Ca4Ac2Sb3O2 crystal.

Summary:
- ΔE_f (raw) (eV per atom) = -1.7710
- D(E_F) (states/eV/f.u.) = 2.535
- magnetic moment (Bohr magnetons per cell) = 0.00

extended XYZ file:
```
11
Lattice="4.807 0.000 0.000 0.000 4.807 0.000 -2.403 -2.403 13.096" Properties=species:S:1:pos:R:3 pbc="T T T"
Ca 0.000 2.403 11.000
Ca 2.403 0.000 11.000
Ca 0.000 2.403 2.096
Ca 2.403 0.000 2.096
Ac 0.000 0.000 8.072
Ac 2.403 2.403 5.024
Sb 0.000 0.000 0.000
Sb 0.000 0.000 4.527
Sb 2.403 2.403 8.569
O 0.000 0.000 10.534
O 2.403 2.403 2.562
```



13.
The following is a DFT calculation (PBE) of a relaxed PmHgIrPb crystal.

Summary:
- DFT formation energy (kJ per mole of atoms) = -17.3
- D(E_F) (states/eV/f.u.) = 2.524
- magnetic moment (Bohr magnetons per cell) = 0.00

extended XYZ file:
```
4
Lattice="-0.472 4.862 1.423 -4.092 2.677 -1.407 -3.495 1.311 3.458" Properties=species:S:1:pos:R:3 pbc="T T T"
Pb -6.044 6.637 2.606
Ir -4.029 4.425 1.737
Hg 0.000 0.000 0.000
Pm -2.015 2.212 0.869
```



14.
The following is a DFT calculation (PBE) of a relaxed KAsCl crystal.

Summary:
- ΔE_f (raw) (eV per atom) = -0.1575
- D(E_F) (states/eV/f.u.) = 2.285
- magnetic moment (Bohr magnetons per cell) = 0.91
- energy above the lowest structure with this stoichiometry (kJ per mole of atoms) = 22.2

extended XYZ file:
```
3
Lattice="3.683 0.000 0.000 -1.841 3.189 0.000 0.000 0.000 7.273" Properties=species:S:1:pos:R:3 pbc="T T T"
As 0.000 0.000 0.174
K 1.841 1.063 4.551
Cl 0.000 2.126 2.547
```



15.
The following is a DFT calculation (PBE) of a relaxed AlIr2Se crystal.

Summary:
- ΔE_f (raw) (eV per atom) = 0.0327
- D(E_F) (states/eV/f.u.) = 1.917
- magnetic moment (Bohr magnetons per cell) = 0.00
- energy above the lowest structure with this stoichiometry (kJ per mole of atoms) = 20.3

extended XYZ file:
```
4
Lattice="-1.681 -1.929 -1.261 2.671 -0.697 0.720 -2.843 -2.707 7.930" Properties=species:S:1:pos:R:3 pbc="T T T"
Ir -2.778 -2.646 7.751
Ir -1.486 -1.415 4.145
Al -1.637 -3.343 5.677
Se -0.216 -1.990 1.712
```



16.
The following is a DFT calculation (PBE) of a relaxed AcNdDyHg crystal.

Summary:
- DFT formation energy (kJ per mole of atoms) = -20.6
- D(E_F) (states/eV/f.u.) = 5.871
- magnetic moment (Bohr magnetons per cell) = 0.00
- energy above the lowest structure with this stoichiometry (kJ per mole of atoms) = 0.0

extended XYZ file:
```
4
Lattice="-3.266 -1.810 0.708 1.227 -0.847 3.496 -3.570 7.659 3.108" Properties=species:S:1:pos:R:3 pbc="T T T"
Ac -0.281 0.602 0.244
Nd -3.810 4.658 4.531
Dy -2.330 1.482 3.242
Hg -1.991 4.271 1.733
```



17.
The following is a DFT calculation (PBE) of a relaxed Mn3CuMo crystal.

Summary:
- DFT formation energy (kJ per mole of atoms) = 164.1
- D(E_F) (states/eV/f.u.) = 12.912
- magnetic moment (Bohr magnetons per cell) = 0.00
- energy above the lowest structure with this stoichiometry (kJ per mole of atoms) = 24.5

extended XYZ file:
```
5
Lattice="4.165 0.000 0.000 0.000 4.165 0.000 0.000 0.000 4.165" Properties=species:S:1:pos:R:3 pbc="T T T"
Mo 2.083 2.083 2.083
Mn 0.000 2.083 0.000
Mn 0.000 0.000 2.083
Mn 2.083 0.000 0.000
Cu 0.000 0.000 0.000
```



18.
The following is a DFT calculation (PBE) of a relaxed CsTe2Pb crystal.

Summary:
- ΔE_f (raw) (eV per atom) = -0.4961
- D(E_F) (states/eV/f.u.) = 6.337
- magnetic moment (Bohr magnetons per cell) = 0.00

extended XYZ file:
```
8
Lattice="8.918 0.000 0.000 0.000 8.918 0.000 4.459 4.459 5.228" Properties=species:S:1:pos:R:3 pbc="T T T"
Pb 0.000 0.000 0.000
Pb 8.918 4.459 2.614
Cs 4.459 4.459 0.000
Cs 4.459 8.918 2.614
Te 7.397 2.229 1.307
Te 1.521 6.688 1.307
Te 6.688 5.979 3.921
Te 11.147 11.856 3.921
```



19.
The following is a DFT calculation (PBE) of a relaxed MgMnBr2 crystal.

Summary:
- ΔE_f (raw) (eV per atom) = -0.4137
- D(E_F) (states/eV/f.u.) = 1.307
- magnetic moment (Bohr magnetons per cell) = 4.57
- energy above the lowest structure with this stoichiometry (kJ per mole of atoms) = 12.2

extended XYZ file:
```
4
Lattice="-0.382 -3.521 0.476 2.247 0.864 -2.640 7.328 0.050 6.252" Properties=species:S:1:pos:R:3 pbc="T T T"
Br 6.712 0.046 5.727
Br 3.367 -1.311 0.995
Mg 3.714 0.026 3.169
Mn 6.392 -1.291 3.576
```



20.
The following is a DFT calculation (PBE) of a relaxed MgZn2Co2 crystal.

Summary:
- DFT formation energy (kJ per mole of atoms) = 6.7
- D(E_F) (states/eV/f.u.) = 6.653
- magnetic moment (Bohr magnetons per cell) = 2.08
- energy above the lowest structure with this stoichiometry (kJ per mole of atoms) = 2.0

extended XYZ file:
```
10
Lattice="-3.428 -1.146 5.978 4.736 -4.811 1.793 1.530 1.974 1.256" Properties=species:S:1:pos:R:3 pbc="T T T"
Zn 2.852 -4.611 3.773
Zn 0.001 -4.028 6.331
Zn -1.544 -1.347 3.998
Zn 1.308 -1.930 1.440
Co 3.351 -2.414 2.822
Co 2.424 -3.785 6.108
Co -0.513 -1.570 6.204
Co 0.414 -0.198 2.918
Mg 0.000 0.000 0.000
Mg 0.654 -2.979 3.885
```